[1]
The following is a DFT calculation (GGA+U) of crystalline CsNaCr2O6 at its relaxed geometry.

a b c (Å): 8.8476 8.8476 5.1408
angles (deg): 92.48 92.48 100.09
Last column: nearest neighbours and their distance in Å.
Positions (direct):
Cs1 0.1331 0.8669 0.7500  8 O 3.12-3.44
Cs2 0.8669 0.1331 0.2500  8 O 3.12-3.44
Na1 0.3845 0.6155 0.2500  4 O 2.32-2.37
Na2 0.6155 0.3845 0.7500  4 O 2.32-2.37
Cr1 0.2216 0.3692 0.7737  3 O 1.65-1.83
Cr2 0.3692 0.2216 0.2737  3 O 1.65-1.83
Cr3 0.6308 0.7784 0.7263  3 O 1.65-1.83
Cr4 0.7784 0.6308 0.2263  3 O 1.65-1.83
O1 0.0647 0.2377 0.7649  1 Cr 1.65
O2 0.2141 0.5441 0.8919  1 Cr 1.65
O3 0.2377 0.0647 0.2649  1 Cr 1.65
O4 0.3006 0.3798 0.4467  2 Cr 1.83-1.85
O5 0.3798 0.3006 0.9467  2 Cr 1.83-1.85
O6 0.4559 0.7859 0.6081  1 Cr 1.65
O7 0.5441 0.2141 0.3919  1 Cr 1.65
O8 0.6202 0.6994 0.0533  2 Cr 1.83-1.85
O9 0.6994 0.6202 0.5533  2 Cr 1.83-1.85
O10 0.7623 0.9353 0.7351  1 Cr 1.65
O11 0.7859 0.4559 0.1081  1 Cr 1.65
O12 0.9353 0.7623 0.2351  1 Cr 1.65

Values from the calculation:
E_tot in eV for the cell shown: -124.6
Space-group type: C2/c (15)
Total moment in μB/f.u.: 2.00

[2]
The following is a DFT calculation (GGA+U) of crystalline CsNa2Cr2O7 at its relaxed geometry.

a b c (Å): 8.9209 8.9209 8.9209
angles (deg): 41.18 41.18 41.18
Last column: nearest neighbours and their distance in Å.
Positions (direct):
Cs1 0.0000 0.0000 0.0000  6 O 3.13
Na1 0.2526 0.2526 0.2526  3 O 2.24
Na2 0.7474 0.7474 0.7474  3 O 2.24
Cr1 0.4278 0.4278 0.4278  4 O 1.67-1.77
Cr2 0.5722 0.5722 0.5722  4 O 1.67-1.77
O1 0.1350 0.4487 0.6337  1 Cr 1.67
O2 0.3663 0.5513 0.8650  1 Cr 1.67
O3 0.4487 0.6337 0.1350  1 Cr 1.67
O4 0.5000 0.5000 0.5000  2 Cr 1.77
O5 0.5513 0.8650 0.3663  1 Cr 1.67
O6 0.6337 0.1350 0.4487  1 Cr 1.67
O7 0.8650 0.3663 0.5513  1 Cr 1.67

Values from the calculation:
E_tot in eV for the cell shown: -71.1
Space-group type: R32 (155)
DOS at the Fermi energy in states/eV per cell: 6.92
Total moment in μB/f.u.: 1.00

[3]
The following is a DFT calculation (GGA+U) of crystalline CsNaCrO4 at its relaxed geometry.

a b c (Å): 6.2041 6.2041 6.2041
angles (deg): 119.87 119.87 90.22
Last column: nearest neighbours and their distance in Å.
Positions (direct):
Cs1 0.0000 0.0000 0.0000  4 O 3.10
Na1 0.5000 0.5000 0.0000  4 O 2.30
Cr1 0.7500 0.2500 0.5000  4 O 1.67
O1 0.0604 0.4475 0.7900  1 Cr 1.67
O2 0.5525 0.3425 0.6129  1 Cr 1.67
O3 0.6575 0.2704 0.2100  1 Cr 1.67
O4 0.7296 0.9396 0.3871  1 Cr 1.67

Values from the calculation:
E_tot in eV for the cell shown: -41.0
Space-group type: I-4 (82)
DOS at the Fermi energy in states/eV per cell: 0.00
Total moment in μB/f.u.: 0.16

Question: Which of these has the lowest E_tot?
Answer: CsNaCr2O6

Question: Look up the total moment of the third one.
Answer: 0.16 μB/f.u.

Question: Which value of E_tot does entry 2 give?
Answer: -71.1 eV for the cell shown

Question: Look up the total moment of the first one.
Answer: 2.00 μB/f.u.